1.
# Na2Ca6Mg7FeSi16O48

A geometry-optimized Na2Ca6Mg7FeSi16O48 structure (PBEsol, Alexandria).

Cell: 13.1185 13.1185 5.2670 Å, 101.16 101.16 84.98°
With the nearest neighbours (Å) after each atom.
Element x y z (fractional)
1 Na 0.0000 0.0000 0.0000  6 O 2.35-2.45
2 Na 0.6981 0.3019 0.5000  6 O 2.45-2.55
3 Ca 0.1966 0.8034 0.5000  6 O 2.33-2.51
4 Ca 0.2013 0.3061 0.0132  6 O 2.31-2.57
5 Ca 0.4983 0.0042 0.5010  6 O 2.32-2.59
6 Ca 0.4997 0.5003 0.0000  6 O 2.35-2.50
7 Ca 0.6939 0.7987 0.9868  6 O 2.31-2.57
8 Ca 0.9958 0.5017 0.4990  6 O 2.32-2.59
9 Mg 0.3024 0.1971 0.5028  6 O 2.03-2.11
10 Mg 0.3017 0.6983 0.0000  6 O 2.04-2.11
11 Mg 0.3932 0.1082 0.0022  6 O 2.03-2.19
12 Mg 0.3936 0.6064 0.5000  6 O 2.04-2.12
13 Mg 0.8001 0.1999 0.0000  6 O 1.99-2.17
14 Mg 0.8029 0.6976 0.4972  6 O 2.03-2.11
15 Mg 0.8918 0.6068 0.9978  6 O 2.03-2.19
16 Fe 0.8964 0.1036 0.5000  6 O 1.86-1.93
17 Si 0.0365 0.7517 0.8064  4 O 1.60-1.69
18 Si 0.0397 0.2444 0.3127  4 O 1.59-1.68
19 Si 0.1532 0.0557 0.6921  4 O 1.61-1.67
20 Si 0.1557 0.5573 0.1938  4 O 1.60-1.70
21 Si 0.2483 0.9635 0.1936  4 O 1.60-1.69
22 Si 0.2500 0.4624 0.6933  4 O 1.60-1.70
23 Si 0.4427 0.8443 0.8062  4 O 1.60-1.70
24 Si 0.4470 0.3420 0.3090  4 O 1.60-1.68
25 Si 0.5376 0.7500 0.3067  4 O 1.60-1.70
26 Si 0.5396 0.2476 0.8069  4 O 1.60-1.68
27 Si 0.6580 0.5530 0.6910  4 O 1.60-1.68
28 Si 0.6631 0.0535 0.1966  4 O 1.59-1.69
29 Si 0.7524 0.4604 0.1930  4 O 1.60-1.68
30 Si 0.7556 0.9603 0.6873  4 O 1.59-1.68
31 Si 0.9443 0.8468 0.3079  4 O 1.61-1.67
32 Si 0.9465 0.3369 0.8034  4 O 1.59-1.69
33 O 0.0140 0.3293 0.1032  2 Si 1.67-1.68
34 O 0.0158 0.8377 0.5985  2 Si 1.65-1.69
35 O 0.0289 0.8238 0.1018  2 Si 1.67
36 O 0.0310 0.0965 0.6926  1 Si 1.65
37 O 0.0372 0.3166 0.6088  2 Si 1.67-1.69
38 O 0.0384 0.5984 0.2102  1 Si 1.60
39 O 0.1538 0.7092 0.7944  1 Si 1.60
40 O 0.1545 0.2004 0.2837  1 Si 1.59
41 O 0.1609 0.4861 0.8954  2 Si 1.68-1.70
42 O 0.1623 0.9842 0.4015  2 Si 1.65-1.69
43 O 0.1762 0.9711 0.8982  2 Si 1.67
44 O 0.1783 0.4675 0.3941  2 Si 1.68-1.70
45 O 0.2390 0.1423 0.7793  1 Si 1.61
46 O 0.2454 0.6397 0.2791  1 Si 1.61
47 O 0.2894 0.3446 0.7066  1 Si 1.60
48 O 0.2908 0.8462 0.2056  1 Si 1.60
49 O 0.3340 0.0509 0.2776  1 Si 1.62
50 O 0.3337 0.5510 0.7779  1 Si 1.61
51 O 0.3603 0.7546 0.7209  1 Si 1.61
52 O 0.3625 0.2529 0.2252  1 Si 1.62
53 O 0.4018 0.4586 0.2918  1 Si 1.60
54 O 0.4016 0.9616 0.7898  1 Si 1.60
55 O 0.4479 0.1654 0.7229  1 Si 1.62
56 O 0.4490 0.6663 0.2221  1 Si 1.61
57 O 0.5139 0.8391 0.1046  2 Si 1.68-1.70
58 O 0.5157 0.3361 0.6072  2 Si 1.66-1.68
59 O 0.5315 0.3204 0.1000  2 Si 1.67-1.68
60 O 0.5325 0.8217 0.6059  2 Si 1.68-1.70
61 O 0.5414 0.5982 0.7082  1 Si 1.60
62 O 0.5468 0.0978 0.2093  1 Si 1.59
63 O 0.6550 0.1984 0.8017  1 Si 1.60
64 O 0.6554 0.7106 0.2934  1 Si 1.60
65 O 0.6639 0.4843 0.3928  2 Si 1.66-1.68
66 O 0.6707 0.9860 0.8968  2 Si 1.67-1.68
67 O 0.6796 0.4685 0.9000  2 Si 1.67-1.68
68 O 0.6834 0.9628 0.3912  2 Si 1.67-1.69
69 O 0.7471 0.6375 0.7748  1 Si 1.62
70 O 0.7616 0.1295 0.2914  1 Si 1.64
71 O 0.7996 0.8455 0.7163  1 Si 1.59
72 O 0.8016 0.3450 0.1983  1 Si 1.60
73 O 0.8346 0.5521 0.2771  1 Si 1.62
74 O 0.8378 0.0538 0.7536  1 Si 1.65
75 O 0.8577 0.7610 0.2207  1 Si 1.61
76 O 0.8705 0.2384 0.7086  1 Si 1.64
77 O 0.9022 0.4532 0.7907  1 Si 1.59
78 O 0.9035 0.9690 0.3074  1 Si 1.65
79 O 0.9462 0.1622 0.2464  1 Si 1.65
80 O 0.9491 0.6660 0.7224  1 Si 1.62

Results
- Raw formation energy: -2.83 eV per atom
- DOS at the Fermi energy: 0.1062 states/eV per atom
- Space-group type: C2 (5)

=====

2.
# SrZn2Ru

A geometry-optimized SrZn2Ru structure (PBEsol, Alexandria).

Cell: 3.3352 3.3352 6.5697 Å, 90.00 90.00 90.00°
With the nearest neighbours (Å) after each atom.
Element x y z (fractional)
1 Sr 0.0000 0.0000 0.0000  8 Zn 3.15, 2 Ru 3.28, 4 Sr 3.34
2 Zn 0.5000 0.5000 0.3173  1 Zn 2.40, 4 Ru 2.65
3 Zn 0.5000 0.5000 0.6827  1 Zn 2.40, 4 Ru 2.65
4 Ru 0.0000 0.0000 0.5000  8 Zn 2.65

Results
- DOS at the Fermi energy: 0.4982 states/eV per atom
- Energy of formation from the pure elements: 72 meV per atom
- Space-group type: P4/mmm (123)

=====

3.
# TaTlAg3

A geometry-optimized TaTlAg3 structure (PBEsol, Alexandria).

Cell: 4.9842 4.9842 4.9842 Å, 90.00 90.00 90.00°
With the nearest neighbours (Å) after each atom.
Element x y z (fractional)
1 Ta 0.0000 0.0000 0.0000  12 Ag 3.52
2 Tl 0.5000 0.5000 0.5000  6 Ag 2.49
3 Ag 0.0000 0.5000 0.5000  2 Tl 2.49
4 Ag 0.5000 0.0000 0.5000  2 Tl 2.49
5 Ag 0.5000 0.5000 0.0000  2 Tl 2.49

Results
- DOS at the Fermi energy: 0.8914 states/eV per atom
- Energy of formation from the pure elements: 1662 meV per atom
- Space-group type: Pm-3m (221)

=====

4.
# K2AlHg

A geometry-optimized K2AlHg structure (PBEsol, Alexandria).

Cell: 4.7585 6.4723 6.4723 Å, 49.69 90.00 90.00°
With the nearest neighbours (Å) after each atom.
Element x y z (fractional)
1 K 0.0000 0.0000 0.0000  3 Al 3.53-3.63, 4 Hg 3.84
2 K 0.5000 0.3061 0.3061  3 Hg 3.55-3.59, 4 Al 3.86
3 Al 0.0000 0.6911 0.6911  2 Hg 2.56
4 Hg 0.5000 0.6117 0.6117  2 Al 2.56

Results
- DOS at the Fermi energy: 0.7027 states/eV per atom
- Energy of formation from the pure elements: 33 meV per atom
- Space-group type: Amm2 (38)
- ΔE to the lowest computed polymorph: 0 meV/atom

=====

5.
# CrHgAu

A geometry-optimized CrHgAu structure (PBEsol, Alexandria).

Cell: 5.0183 5.0183 5.0183 Å, 142.71 137.09 58.12°
With the nearest neighbours (Å) after each atom.
Element x y z (fractional)
1 Cr 0.0000 0.0000 0.0000  5 Au 2.79-3.02, 5 Hg 2.85-2.91
2 Hg 0.6682 0.6682 0.0000  5 Au 2.84-2.89, 5 Cr 2.85-2.91
3 Au 0.3444 0.3444 0.0000  5 Cr 2.79-3.02, 5 Hg 2.84-2.89

Results
- DOS at the Fermi energy: 0.4041 states/eV per atom
- Energy of formation from the pure elements: 247 meV per atom
- Space-group type: Imm2 (44)

=====

6.
# AlAuS3

A geometry-optimized AlAuS3 structure (PBEsol, Alexandria).

Cell: 4.7370 4.7370 4.7370 Å, 90.00 90.00 90.00°
With the nearest neighbours (Å) after each atom.
Element x y z (fractional)
1 Al 0.0000 0.0000 0.0000  12 S 3.35
2 Au 0.5000 0.5000 0.5000  6 S 2.37
3 S 0.0000 0.5000 0.5000  2 Au 2.37
4 S 0.5000 0.0000 0.5000  2 Au 2.37
5 S 0.5000 0.5000 0.0000  2 Au 2.37

Results
- Raw formation energy: 0.62 eV per atom
- DOS at the Fermi energy: 0.9365 states/eV per atom
- Space-group type: Pm-3m (221)